# 1
VASP calculation (PBE-GGA) on a geometry-optimized NpMn2V structure.

Computed properties:
As for the symmetry: P4/mmm (123). The formation energy comes out at 0.0454 eV per atom.

a = 2.8611 Å, b = 2.8611 Å, c = 6.9191 Å
α = 90.00°, β = 90.00°, γ = 90.00°
Fractional coordinates of all 4 atoms:
Np 0.0000 0.0000 0.0000
Mn 0.5000 0.5000 0.2915
Mn 0.5000 0.5000 0.7085
V 0.0000 0.0000 0.5000

***

# 2
VASP calculation (PBE-GGA) on a geometry-optimized NpMnV structure.

Computed properties:
As for the symmetry: P3m1 (156). The formation energy comes out at 0.2255 eV per atom.

a = 4.2521 Å, b = 4.2521 Å, c = 2.6456 Å
α = 90.00°, β = 90.00°, γ = 120.00°
Fractional coordinates of all 3 atoms:
Np 0.0000 0.0000 0.0000
Mn 0.6667 0.3333 0.2906
V 0.3333 0.6667 0.7816

***

# 3
VASP calculation (PBE-GGA) on a geometry-optimized YNpMn structure.

Computed properties:
As for the symmetry: C2/m (12). The formation energy comes out at 0.2026 eV per atom.

a = 6.1022 Å, b = 6.1022 Å, c = 7.6803 Å
α = 125.68°, β = 125.68°, γ = 34.22°
Fractional coordinates of all 6 atoms:
Y 0.0823 0.0823 0.3100
Y 0.9177 0.9177 0.6900
Np 0.2609 0.2609 0.8934
Np 0.7391 0.7391 0.1066
Mn 0.3754 0.3754 0.3390
Mn 0.6246 0.6246 0.6610

***

# 4
VASP calculation (PBE-GGA) on a geometry-optimized NpMn2Zn structure.

Computed properties:
As for the symmetry: P4/mmm (123). The formation energy comes out at 0.2233 eV per atom.

a = 3.2016 Å, b = 3.2016 Å, c = 5.8960 Å
α = 90.00°, β = 90.00°, γ = 90.00°
Fractional coordinates of all 4 atoms:
Np 0.0000 0.0000 0.0000
Mn 0.5000 0.5000 0.2351
Mn 0.5000 0.5000 0.7649
Zn 0.0000 0.0000 0.5000

***

# 5
VASP calculation (PBE-GGA) on a geometry-optimized NpMn2Zn structure.

Computed properties:
As for the symmetry: P4/mmm (123). The formation energy comes out at 0.0657 eV per atom.

a = 4.1867 Å, b = 4.1867 Å, c = 3.3472 Å
α = 90.00°, β = 90.00°, γ = 90.00°
Fractional coordinates of all 4 atoms:
Np 0.0000 0.0000 0.0000
Mn 0.0000 0.5000 0.5000
Mn 0.5000 0.0000 0.5000
Zn 0.5000 0.5000 0.0000

***

# 6
VASP calculation (PBE-GGA) on a geometry-optimized NpMnZn structure.

Computed properties:
As for the symmetry: I4mm (107). The formation energy comes out at 0.1683 eV per atom.

a = 5.9956 Å, b = 5.9956 Å, c = 5.9956 Å
α = 150.81°, β = 150.81°, γ = 41.75°
Fractional coordinates of all 3 atoms:
Np 0.0000 0.0000 0.0000
Mn 0.3469 0.3469 0.0000
Zn 0.7101 0.7101 0.0000

***

# 7
VASP calculation (PBE-GGA) on a geometry-optimized NpMnZn11 structure.

Computed properties:
As for the symmetry: C2/m (12). The formation energy comes out at -0.0081 eV per atom.

a = 6.8069 Å, b = 6.8069 Å, c = 6.8272 Å
α = 98.25°, β = 98.25°, γ = 135.23°
Fractional coordinates of all 13 atoms:
Np 0.0000 0.0000 0.0000
Mn 0.5000 0.5000 0.5000
Zn 0.0000 0.0000 0.5000
Zn 0.0000 0.5000 0.0000
Zn 0.0168 0.3638 0.3547
Zn 0.2858 0.5020 0.7824
Zn 0.3638 0.0168 0.3547
Zn 0.4980 0.7142 0.2176
Zn 0.5000 0.0000 0.0000
Zn 0.5020 0.2858 0.7824
Zn 0.6362 0.9832 0.6453
Zn 0.7142 0.4980 0.2176
Zn 0.9832 0.6362 0.6453

***

# 8
VASP calculation (PBE-GGA) on a geometry-optimized Np2Mn2Zn15 structure.

Computed properties:
As for the symmetry: R-3m (166). The formation energy comes out at 0.0164 eV per atom.

a = 6.7929 Å, b = 6.7929 Å, c = 6.7929 Å
α = 82.64°, β = 82.64°, γ = 82.64°
Fractional coordinates of all 19 atoms:
Np 0.1604 0.1604 0.1604
Np 0.8396 0.8396 0.8396
Mn 0.3988 0.3988 0.3988
Mn 0.6012 0.6012 0.6012
Zn 0.0000 0.5000 0.5000
Zn 0.1456 0.1456 0.6516
Zn 0.1456 0.6516 0.1456
Zn 0.2129 0.5000 0.7871
Zn 0.2129 0.7871 0.5000
Zn 0.3484 0.8544 0.8544
Zn 0.5000 0.0000 0.5000
Zn 0.5000 0.2129 0.7871
Zn 0.5000 0.5000 0.0000
Zn 0.5000 0.7871 0.2129
Zn 0.6516 0.1456 0.1456
Zn 0.7871 0.2129 0.5000
Zn 0.7871 0.5000 0.2129
Zn 0.8544 0.3484 0.8544
Zn 0.8544 0.8544 0.3484